[1]
# PBEsol ReTcIr2, optimized geometry
# Crystal system: trigonal
data_ReTcIr2
_cell_length_a 2.7129
_cell_length_b 2.7129
_cell_length_c 26.6708
_cell_angle_alpha 90.00
_cell_angle_beta 90.00
_cell_angle_gamma 120.00
_space_group_name_H-M_alt 'R 3 m'
_space_group_IT_number 160
_space_group_name_Hall 'R 3 -2"'
loop_
_atom_site_label
_atom_site_fract_x
_atom_site_fract_y
_atom_site_fract_z
Re1 0.0000 0.0000 0.0000
Tc1 0.0000 0.0000 0.2499
Ir1 0.0000 0.0000 0.5016
Ir2 0.0000 0.0000 0.7490

***

[2]
# PBEsol Re2TcIr, optimized geometry
# Crystal system: monoclinic
data_Re2TcIr
_cell_length_a 9.0514
_cell_length_b 2.7127
_cell_length_c 4.7274
_cell_angle_alpha 90.00
_cell_angle_beta 99.99
_cell_angle_gamma 90.00
_space_group_name_H-M_alt 'C 1 m 1'
_space_group_IT_number 8
loop_
_space_group_symop_operation_xyz
'x,y,z'
'x,-y,z'
'x+1/2,y+1/2,z'
'x+1/2,-y+1/2,z'
loop_
_atom_site_label
_atom_site_fract_x
_atom_site_fract_y
_atom_site_fract_z
Re1 0.0000 0.0000 0.0000
Re2 0.2498 0.0000 0.7438
Tc1 0.0006 0.5000 0.5020
Ir1 0.2491 0.5000 0.2462

***

[3]
# PBEsol Re2TcIr, optimized geometry
# Crystal system: orthorhombic
data_Re2TcIr
_cell_length_a 2.7153
_cell_length_b 3.8609
_cell_length_c 5.4517
_cell_angle_alpha 90.00
_cell_angle_beta 90.00
_cell_angle_gamma 90.00
_space_group_name_H-M_alt 'P m m m'
_space_group_IT_number 47
loop_
_space_group_symop_operation_xyz
'x,y,z'
'-x,-y,-z'
'-x,-y,z'
'x,y,-z'
'x,-y,-z'
'-x,y,z'
'-x,y,-z'
'x,-y,z'
loop_
_atom_site_label
_atom_site_fract_x
_atom_site_fract_y
_atom_site_fract_z
Re1 0.0000 0.0000 0.2427
Tc1 0.5000 0.5000 0.0000
Ir1 0.5000 0.5000 0.5000

***

[4]
# PBEsol Re2TcIr, optimized geometry
# Crystal system: tetragonal
data_Re2TcIr
_cell_length_a 2.7233
_cell_length_b 2.7233
_cell_length_c 7.7313
_cell_angle_alpha 90.00
_cell_angle_beta 90.00
_cell_angle_gamma 90.00
_space_group_name_H-M_alt 'P 4 m m'
_space_group_IT_number 99
loop_
_space_group_symop_operation_xyz
'x,y,z'
'-y,x,z'
'-x,-y,z'
'y,-x,z'
'-x,y,z'
'y,x,z'
'x,-y,z'
'-y,-x,z'
loop_
_atom_site_label
_atom_site_fract_x
_atom_site_fract_y
_atom_site_fract_z
Re1 0.0000 0.0000 0.0000
Re2 0.5000 0.5000 0.2560
Tc1 0.0000 0.0000 0.4988
Ir1 0.5000 0.5000 0.7536

***

no.,energy of formation from the pure elements (eV/atom),energy above the most stable polymorph in this dataset (eV per atom)
1,-0.067,0.239
2,-0.057,0.013
3,-0.070,0.000
4,-0.053,0.017